Computed, not measured: a relaxed Ca5MgZn4 crystal at the GGA-PBE level of DFT.

Values from the calculation:
Its magnetization is 0.000 μB per formula unit. As for the total energy: -18.8 eV/cell.

```
10
Lattice="3.6832 0.0000 0.0000 0.0000 3.6832 0.0000 0.0000 0.0000 19.1871" Properties=species:S:1:pos:R:3 pbc="T T T"
Ca 0.0000 0.0000 0.0000
Ca 0.0000 0.0000 3.6769
Ca 0.0000 0.0000 7.3311
Ca 0.0000 0.0000 11.8561
Ca 0.0000 0.0000 15.5102
Mg 1.8416 1.8416 9.5936
Zn 1.8416 1.8416 1.8395
Zn 1.8416 1.8416 5.5499
Zn 1.8416 1.8416 13.6372
Zn 1.8416 1.8416 17.3476
```